14
Lattice="-5.1938 5.1938 2.5129 5.1938 -5.1938 2.5129 5.1938 5.1938 -2.5129" Properties=species:S:1:pos:R:3 comment="Ti4CrBi2, optimized geometry, DFT PBEsol" magmom_total_mub_per_fu=0.00 space_group=I4/mcm dft_energy_ev_per_atom=-7.687 pbc="T T T"
Ti 8.3831 0.8360 0.0000
Ti 0.8360 2.0046 0.0000
Ti 6.0299 3.1893 0.0000
Ti 3.1893 4.3578 0.0000
Ti 2.0046 0.8360 2.5129
Ti -0.8360 2.0046 2.5129
Ti 4.3578 3.1893 2.5129
Ti -3.1893 4.3578 2.5129
Cr 0.0000 0.0000 1.2565
Cr 0.0000 0.0000 3.7694
Bi 3.7546 1.4393 0.0000
Bi 3.7546 -1.4393 2.5129
Bi 1.4393 6.6331 0.0000
Bi 1.4393 3.7546 2.5129

***

4
Lattice="5.2744 0.0000 0.0000 0.0000 5.2744 0.0000 0.0000 0.0000 3.7004" Properties=species:S:1:pos:R:3 comment="Ca2TlAg, optimized geometry, DFT PBEsol" magmom_total_mub_per_fu=0.00 space_group=P4/mmm dft_energy_ev_per_atom=-2.928 pbc="T T T"
Ca 0.0000 2.6372 0.0000
Ca 2.6372 0.0000 0.0000
Tl 0.0000 0.0000 1.8502
Ag 2.6372 2.6372 1.8502

***

5
Lattice="5.0719 0.0000 0.0000 0.0000 5.0719 0.0000 0.0000 0.0000 5.0719" Properties=species:S:1:pos:R:3 comment="Ag3BrF, optimized geometry, DFT PBEsol" magmom_total_mub_per_fu=0.00 e_form_raw_ev_per_atom=0.34 space_group=Pm-3m dft_energy_ev_per_atom=-2.402 pbc="T T T"
Ag 0.0000 0.0000 2.5360
Ag 0.0000 2.5360 0.0000
Ag 2.5360 0.0000 0.0000
Br 0.0000 0.0000 0.0000
F 2.5360 2.5360 2.5360

***

4
Lattice="0.0000 2.9065 2.9065 2.9065 0.0000 2.9065 2.9065 2.9065 0.0000" Properties=species:S:1:pos:R:3 comment="TaRuF2, optimized geometry, DFT PBEsol" magmom_total_mub_per_fu=1.34 e_form_raw_ev_per_atom=0.06 space_group=Fm-3m dft_energy_ev_per_atom=-6.582 pbc="T T T"
Ta 0.0000 0.0000 0.0000
Ru 2.9065 2.9065 2.9065
F 1.4533 1.4533 1.4533
F 4.3598 4.3598 4.3598

***

4
Lattice="4.6183 0.0000 0.0000 0.0000 4.6183 0.0000 0.0000 0.0000 3.1545" Properties=species:S:1:pos:R:3 comment="NiSb2Os, optimized geometry, DFT PBEsol" magmom_total_mub_per_fu=0.00 e_form_raw_ev_per_atom=0.40 space_group=P4/mmm dft_energy_ev_per_atom=-6.469 pbc="T T T"
Ni 0.0000 0.0000 0.0000
Sb 0.0000 2.3091 1.5772
Sb 2.3091 0.0000 1.5772
Os 2.3091 2.3091 0.0000

***

5
Lattice="4.2676 0.0000 0.0000 0.0000 4.2676 0.0000 0.0000 0.0000 4.2676" Properties=species:S:1:pos:R:3 comment="CsTiF3, optimized geometry, DFT PBEsol" magmom_total_mub_per_fu=2.00 e_form_raw_ev_per_atom=-2.77 space_group=Pm-3m dft_energy_ev_per_atom=-5.783 pbc="T T T"
Cs 0.0000 0.0000 0.0000
Ti 2.1338 2.1338 2.1338
F 0.0000 2.1338 2.1338
F 2.1338 0.0000 2.1338
F 2.1338 2.1338 0.0000

***

Repeat the first record exactly.
14
Lattice="-5.1938 5.1938 2.5129 5.1938 -5.1938 2.5129 5.1938 5.1938 -2.5129" Properties=species:S:1:pos:R:3 comment="Ti4CrBi2, optimized geometry, DFT PBEsol" magmom_total_mub_per_fu=0.00 space_group=I4/mcm dft_energy_ev_per_atom=-7.687 pbc="T T T"
Ti 8.3831 0.8360 0.0000
Ti 0.8360 2.0046 0.0000
Ti 6.0299 3.1893 0.0000
Ti 3.1893 4.3578 0.0000
Ti 2.0046 0.8360 2.5129
Ti -0.8360 2.0046 2.5129
Ti 4.3578 3.1893 2.5129
Ti -3.1893 4.3578 2.5129
Cr 0.0000 0.0000 1.2565
Cr 0.0000 0.0000 3.7694
Bi 3.7546 1.4393 0.0000
Bi 3.7546 -1.4393 2.5129
Bi 1.4393 6.6331 0.0000
Bi 1.4393 3.7546 2.5129